First-principles (GGA-PBE) data for CaCu2Pd4 after structural relaxation, as listed in the Alexandria database.

## Properties
symmetry: Immm (71)
magnetization: 0.000 μB per cell
ΔH_f (0 K): -2.09 eV per formula unit

The structure in CIF format:
```
data_CaCu2Pd4
_space_group_name_H-M_alt 'P 1'
_space_group_IT_number 1
_space_group_name_Hall 'P 1'
_cell_length_a 5.139
_cell_length_b 5.381
_cell_length_c 5.382
_cell_angle_alpha 76.63
_cell_angle_beta 61.50
_cell_angle_gamma 61.50
loop_
_atom_site_label
_atom_site_fract_x
_atom_site_fract_y
_atom_site_fract_z
Pd1 0.701 0.597 0.001
Pd2 0.299 0.403 0.999
Pd3 0.299 0.999 0.403
Pd4 0.701 0.001 0.597
Cu1 0.751 0.500 0.500
Cu2 0.249 0.500 0.500
Ca1 0.000 0.000 0.000
```

First-principles (GGA-PBE) data for Ca8Cu2Pd after structural relaxation, as listed in the Alexandria database.

## Properties
symmetry: Cm (8)
magnetization: 0.000 μB per cell
ΔH_f (0 K): -1.54 eV per formula unit

The structure in CIF format:
```
data_Ca8Cu2Pd
_space_group_name_H-M_alt 'P 1'
_space_group_IT_number 1
_space_group_name_Hall 'P 1'
_cell_length_a 6.418
_cell_length_b 7.976
_cell_length_c 7.976
_cell_angle_alpha 113.08
_cell_angle_beta 101.05
_cell_angle_gamma 101.05
loop_
_atom_site_label
_atom_site_fract_x
_atom_site_fract_y
_atom_site_fract_z
Ca1 0.975 0.202 0.792
Ca2 0.574 0.342 0.083
Ca3 0.574 0.083 0.342
Ca4 0.975 0.792 0.202
Ca5 0.366 0.924 0.660
Ca6 0.175 0.359 0.359
Ca7 0.801 0.649 0.649
Ca8 0.366 0.660 0.924
Cu1 0.502 0.324 0.699
Cu2 0.502 0.699 0.324
Pd1 0.186 0.000 0.000
```

First-principles (GGA-PBE) data for Ca3Cu4Pd4 after structural relaxation, as listed in the Alexandria database.

## Properties
symmetry: I-43m (217)
magnetization: 0.000 μB per cell
ΔH_f (0 K): -3.43 eV per formula unit

The structure in CIF format:
```
data_Ca3Cu4Pd4
_space_group_name_H-M_alt 'P 1'
_space_group_IT_number 1
_space_group_name_Hall 'P 1'
_cell_length_a 6.573
_cell_length_b 6.573
_cell_length_c 6.573
_cell_angle_alpha 109.47
_cell_angle_beta 109.47
_cell_angle_gamma 109.47
loop_
_atom_site_label
_atom_site_fract_x
_atom_site_fract_y
_atom_site_fract_z
Ca1 0.500 0.000 0.500
Ca2 0.500 0.500 0.000
Ca3 0.000 0.500 0.500
Pd1 0.599 0.000 0.000
Pd2 0.000 0.599 0.000
Pd3 0.401 0.401 0.401
Pd4 0.000 0.000 0.599
Cu1 0.000 0.232 0.000
Cu2 0.232 0.000 0.000
Cu3 0.000 0.000 0.232
Cu4 0.768 0.768 0.768
```

First-principles (GGA-PBE) data for Ca4CuPd2 after structural relaxation, as listed in the Alexandria database.

## Properties
symmetry: Cm (8)
magnetization: 0.000 μB per cell
ΔH_f (0 K): -3.10 eV per formula unit

The structure in CIF format:
```
data_Ca4CuPd2
_space_group_name_H-M_alt 'P 1'
_space_group_IT_number 1
_space_group_name_Hall 'P 1'
_cell_length_a 7.277
_cell_length_b 7.277
_cell_length_c 7.850
_cell_angle_alpha 105.48
_cell_angle_beta 105.48
_cell_angle_gamma 74.40
loop_
_atom_site_label
_atom_site_fract_x
_atom_site_fract_y
_atom_site_fract_z
Ca1 0.643 0.155 0.474
Ca2 0.636 0.138 0.974
Ca3 0.119 0.119 0.832
Ca4 0.155 0.643 0.474
Ca5 0.617 0.617 0.335
Ca6 0.138 0.636 0.974
Ca7 0.613 0.613 0.832
Ca8 0.127 0.127 0.343
Pd1 0.338 0.338 0.703
Pd2 0.337 0.337 0.189
Pd3 0.440 0.923 0.617
Pd4 0.923 0.440 0.617
Cu1 0.837 0.837 0.197
Cu2 0.826 0.826 0.689
```

First-principles (GGA-PBE) data for CaPmCuPd after structural relaxation, as listed in the Alexandria database.

## Properties
symmetry: F-43m (216)
magnetization: 0.000 μB per cell
ΔH_f (0 K): -1.73 eV per formula unit
E above lowest polymorph: 4.3 kJ/mol of atoms

The structure in CIF format:
```
data_CaPmCuPd
_space_group_name_H-M_alt 'P 1'
_space_group_IT_number 1
_space_group_name_Hall 'P 1'
_cell_length_a 5.040
_cell_length_b 5.040
_cell_length_c 5.040
_cell_angle_alpha 60.00
_cell_angle_beta 60.00
_cell_angle_gamma 60.00
loop_
_atom_site_label
_atom_site_fract_x
_atom_site_fract_y
_atom_site_fract_z
Pd1 0.000 0.000 0.000
Cu1 0.500 0.500 0.500
Pm1 0.750 0.750 0.750
Ca1 0.250 0.250 0.250
```

First-principles (GGA-PBE) data for CaPmCuPd after structural relaxation, as listed in the Alexandria database.

## Properties
symmetry: Amm2 (38)
magnetization: 0.000 μB per cell
ΔH_f (0 K): -1.91 eV per formula unit
E above lowest polymorph: 0.0 kJ/mol of atoms

The structure in CIF format:
```
data_CaPmCuPd
_space_group_name_H-M_alt 'P 1'
_space_group_IT_number 1
_space_group_name_Hall 'P 1'
_cell_length_a 3.982
_cell_length_b 4.393
_cell_length_c 5.813
_cell_angle_alpha 90.00
_cell_angle_beta 110.03
_cell_angle_gamma 90.00
loop_
_atom_site_label
_atom_site_fract_x
_atom_site_fract_y
_atom_site_fract_z
Cu1 0.571 0.500 0.142
Pm1 0.864 0.500 0.727
Ca1 0.141 0.000 0.283
Pd1 0.424 0.000 0.849
```

First-principles (GGA-PBE) data for Ca2Cu2Pd5Pt after structural relaxation, as listed in the Alexandria database.

## Properties
symmetry: P4/mbm (127)
magnetization: 0.000 μB per cell
ΔH_f (0 K): -4.13 eV per formula unit

The structure in CIF format:
```
data_Ca2Cu2Pd5Pt
_space_group_name_H-M_alt 'P 1'
_space_group_IT_number 1
_space_group_name_Hall 'P 1'
_cell_length_a 3.888
_cell_length_b 9.418
_cell_length_c 9.418
_cell_angle_alpha 90.00
_cell_angle_beta 90.00
_cell_angle_gamma 90.00
loop_
_atom_site_label
_atom_site_fract_x
_atom_site_fract_y
_atom_site_fract_z
Cu1 0.000 0.621 0.879
Cu2 0.000 0.121 0.621
Cu3 0.000 0.379 0.121
Cu4 0.000 0.879 0.379
Ca1 0.000 0.322 0.822
Ca2 0.000 0.678 0.178
Ca3 0.000 0.178 0.322
Ca4 0.000 0.822 0.678
Pd1 0.500 0.434 0.294
Pd2 0.500 0.000 0.500
Pd3 0.500 0.206 0.066
Pd4 0.500 0.934 0.206
Pd5 0.500 0.066 0.794
Pd6 0.500 0.566 0.706
Pd7 0.500 0.706 0.434
Pd8 0.500 0.794 0.934
Pd9 0.500 0.294 0.566
Pd10 0.500 0.500 0.000
Pt1 0.000 0.000 0.000
Pt2 0.000 0.500 0.500
```

First-principles (GGA-PBE) data for CaPuCuPd after structural relaxation, as listed in the Alexandria database.

## Properties
symmetry: F-43m (216)
magnetization: 5.933 μB per cell
ΔH_f (0 K): -0.76 eV per formula unit

The structure in CIF format:
```
data_CaPuCuPd
_space_group_name_H-M_alt 'P 1'
_space_group_IT_number 1
_space_group_name_Hall 'P 1'
_cell_length_a 4.996
_cell_length_b 4.996
_cell_length_c 4.996
_cell_angle_alpha 60.00
_cell_angle_beta 60.00
_cell_angle_gamma 60.00
loop_
_atom_site_label
_atom_site_fract_x
_atom_site_fract_y
_atom_site_fract_z
Cu1 0.250 0.250 0.250
Ca1 0.000 0.000 0.000
Pd1 0.750 0.750 0.750
Pu1 0.500 0.500 0.500
```

First-principles (GGA-PBE) data for CaCu2PdRu after structural relaxation, as listed in the Alexandria database.

## Properties
symmetry: P4/mmm (123)
magnetization: 0.000 μB per cell
ΔH_f (0 K): 3.27 eV per formula unit

The structure in CIF format:
```
data_CaCu2PdRu
_space_group_name_H-M_alt 'P 1'
_space_group_IT_number 1
_space_group_name_Hall 'P 1'
_cell_length_a 4.716
_cell_length_b 4.772
_cell_length_c 4.716
_cell_angle_alpha 90.00
_cell_angle_beta 90.00
_cell_angle_gamma 90.00
loop_
_atom_site_label
_atom_site_fract_x
_atom_site_fract_y
_atom_site_fract_z
Cu1 0.500 0.000 0.000
Cu2 0.000 0.000 0.500
Ca1 0.500 0.500 0.500
Ru1 0.000 0.500 0.000
Pd1 0.000 0.000 0.000
```

First-principles (GGA-PBE) data for Ca3Cu2SbPd9 after structural relaxation, as listed in the Alexandria database.

## Properties
symmetry: P-3m1 (164)
magnetization: 0.000 μB per cell
formation energy (no corrections): -0.18 eV per atom

The structure in CIF format:
```
data_Ca3Cu2SbPd9
_space_group_name_H-M_alt 'P 1'
_space_group_IT_number 1
_space_group_name_Hall 'P 1'
_cell_length_a 7.701
_cell_length_b 7.701
_cell_length_c 6.254
_cell_angle_alpha 90.00
_cell_angle_beta 90.00
_cell_angle_gamma 120.00
loop_
_atom_site_label
_atom_site_fract_x
_atom_site_fract_y
_atom_site_fract_z
Pd1 0.661 0.831 0.316
Pd2 0.169 0.339 0.316
Pd3 0.500 0.500 0.000
Pd4 0.000 0.500 0.000
Pd5 0.831 0.661 0.684
Pd6 0.831 0.169 0.684
Pd7 0.169 0.831 0.316
Pd8 0.500 0.000 0.000
Pd9 0.339 0.169 0.684
Ca1 0.000 0.000 0.000
Ca2 0.667 0.333 0.336
Ca3 0.333 0.667 0.664
Cu1 0.333 0.667 0.149
Cu2 0.667 0.333 0.851
Sb1 0.000 0.000 0.500
```

First-principles (GGA-PBE) data for CaCuSb2Pd4 after structural relaxation, as listed in the Alexandria database.

## Properties
symmetry: R-3m (166)
magnetization: 0.000 μB per cell
formation energy (no corrections): -0.50 eV per atom

The structure in CIF format:
```
data_CaCuSb2Pd4
_space_group_name_H-M_alt 'P 1'
_space_group_IT_number 1
_space_group_name_Hall 'P 1'
_cell_length_a 4.580
_cell_length_b 4.580
_cell_length_c 8.592
_cell_angle_alpha 74.54
_cell_angle_beta 74.54
_cell_angle_gamma 60.00
loop_
_atom_site_label
_atom_site_fract_x
_atom_site_fract_y
_atom_site_fract_z
Pd1 0.133 0.133 0.600
Pd2 0.396 0.396 0.811
Pd3 0.604 0.604 0.189
Pd4 0.867 0.867 0.400
Ca1 0.000 0.000 0.000
Cu1 0.500 0.500 0.500
Sb1 0.754 0.754 0.737
Sb2 0.246 0.246 0.263
```